Record 1
DFT (meta-GGA SCAN) results for CdSeN2O at its PBEsol-relaxed geometry.

a = 4.027 Å, b = 4.027 Å, c = 5.693 Å
α = 90.00°, β = 90.00°, γ = 90.00°
Element x y z (fractional)
Cd 0.000 0.000 0.000
Se 0.000 0.000 0.500
N 0.000 0.500 0.000
N 0.500 0.000 0.000
O 0.500 0.500 0.500

D(E_F) = 2.7 states/eV/f.u.
energy relative to the elements, uncorrected = 2.17 eV/atom
symmetry = No. 123

***

Record 2
DFT (meta-GGA SCAN) results for Ca3ReF at its PBEsol-relaxed geometry.

a = 4.668 Å, b = 4.668 Å, c = 4.668 Å
α = 90.00°, β = 90.00°, γ = 90.00°
Element x y z (fractional)
Ca 0.000 0.000 0.500
Ca 0.000 0.500 0.000
Ca 0.500 0.000 0.000
Re 0.500 0.500 0.500
F 0.000 0.000 0.000

D(E_F) = 3.4 states/eV/f.u.
energy relative to the elements, uncorrected = -0.55 eV/atom
symmetry = No. 221